# 1
## POs2Cl (SCAN)

Data for a crystal of POs2Cl relaxed with PBEsol.

Cell: 2.904 2.904 6.711 Å, 90.00 90.00 90.00°
Fractional coordinates of all 4 atoms:
P1 0.000 0.000 0.000
Os1 0.500 0.500 0.197
Os2 0.500 0.500 0.803
Cl1 0.000 0.000 0.500

Values from the calculation:
For the distance to the lowest polymorph of the same formula, the calculation gives 1.75 eV/f.u. For the energy relative to the elements, uncorrected, the calculation gives 0.645 eV per atom. The calculation puts the density of states at the Fermi level at 0.982 states/eV/atom.

---

# 2
## MnIr2W (SCAN)

Data for a crystal of MnIr2W relaxed with PBEsol.

Cell: 3.801 3.801 3.780 Å, 90.00 90.00 90.00°
Fractional coordinates of all 4 atoms:
Mn1 0.000 0.000 0.000
Ir1 0.000 0.500 0.500
Ir2 0.500 0.000 0.500
W1 0.500 0.500 0.000

Values from the calculation:
For the distance to the lowest polymorph of the same formula, the calculation gives 0.00 eV/f.u. The calculation puts the density of states at the Fermi level at 0.448 states/eV/atom. The value obtained for the formation energy from the elements is -38.6 kJ/mol of atoms.

---

# 3
## In7Hg6 (SCAN)

Data for a crystal of In7Hg6 relaxed with PBEsol.

Cell: 10.428 10.428 10.428 Å, 34.88 34.88 34.88°
Fractional coordinates of all 13 atoms:
In1 0.000 0.000 0.000
In2 0.088 0.088 0.577
In3 0.088 0.577 0.088
In4 0.423 0.912 0.912
In5 0.577 0.088 0.088
In6 0.912 0.423 0.912
In7 0.912 0.912 0.423
Hg1 0.165 0.165 0.165
Hg2 0.347 0.347 0.347
Hg3 0.451 0.451 0.451
Hg4 0.549 0.549 0.549
Hg5 0.653 0.653 0.653
Hg6 0.835 0.835 0.835

Values from the calculation:
The calculation puts the density of states at the Fermi level at 0.389 states/eV/atom. The value obtained for the formation energy from the elements is 8.2 kJ/mol of atoms.

---

# 4
## MgZrBr2 (SCAN)

Data for a crystal of MgZrBr2 relaxed with PBEsol.

Cell: 6.867 6.867 6.867 Å, 90.00 90.00 90.00°
Fractional coordinates of all 16 atoms:
Mg1 0.000 0.000 0.000
Mg2 0.000 0.500 0.500
Mg3 0.500 0.000 0.500
Mg4 0.500 0.500 0.000
Zr1 0.000 0.000 0.500
Zr2 0.000 0.500 0.000
Zr3 0.500 0.000 0.000
Zr4 0.500 0.500 0.500
Br1 0.250 0.250 0.250
Br2 0.250 0.250 0.750
Br3 0.250 0.750 0.250
Br4 0.250 0.750 0.750
Br5 0.750 0.250 0.250
Br6 0.750 0.250 0.750
Br7 0.750 0.750 0.250
Br8 0.750 0.750 0.750

Values from the calculation:
For the distance to the lowest polymorph of the same formula, the calculation gives 1.76 eV/f.u. For the energy relative to the elements, uncorrected, the calculation gives -0.258 eV per atom. The calculation puts the density of states at the Fermi level at 0.794 states/eV/atom.

---

# 5
## MgMo2As (SCAN)

Data for a crystal of MgMo2As relaxed with PBEsol.

Cell: 4.430 4.430 6.241 Å, 90.00 90.00 90.00°
Fractional coordinates of all 8 atoms:
Mg1 0.000 0.000 0.000
Mg2 0.500 0.500 0.500
Mo1 0.000 0.000 0.500
Mo2 0.000 0.500 0.750
Mo3 0.500 0.000 0.250
Mo4 0.500 0.500 0.000
As1 0.000 0.500 0.250
As2 0.500 0.000 0.750

Values from the calculation:
For the distance to the lowest polymorph of the same formula, the calculation gives 0.00 eV/f.u. The calculation puts the density of states at the Fermi level at 0.623 states/eV/atom. The value obtained for the formation energy from the elements is 17.1 kJ/mol of atoms.

---

# 6
## TaCoP2 (SCAN)

Data for a crystal of TaCoP2 relaxed with PBEsol.

Cell: 5.896 5.896 5.896 Å, 90.00 90.00 90.00°
Fractional coordinates of all 16 atoms:
Ta1 0.000 0.000 0.000
Ta2 0.000 0.500 0.500
Ta3 0.500 0.000 0.500
Ta4 0.500 0.500 0.000
Co1 0.000 0.000 0.500
Co2 0.000 0.500 0.000
Co3 0.500 0.000 0.000
Co4 0.500 0.500 0.500
P1 0.250 0.250 0.250
P2 0.250 0.250 0.750
P3 0.250 0.750 0.250
P4 0.250 0.750 0.750
P5 0.750 0.250 0.250
P6 0.750 0.250 0.750
P7 0.750 0.750 0.250
P8 0.750 0.750 0.750

Values from the calculation:
For the distance to the lowest polymorph of the same formula, the calculation gives 0.45 eV/f.u. The calculation puts the density of states at the Fermi level at 0.309 states/eV/atom. The value obtained for the formation energy from the elements is -8.5 kJ/mol of atoms.

---

# 7
## K2MgH4 (SCAN)

Data for a crystal of K2MgH4 relaxed with PBEsol.

Cell: 3.989 3.989 13.422 Å, 90.00 90.00 90.00°
Fractional coordinates of all 14 atoms:
K1 0.000 0.000 0.144
K2 0.000 0.000 0.856
K3 0.500 0.500 0.356
K4 0.500 0.500 0.644
Mg1 0.000 0.000 0.500
Mg2 0.500 0.500 0.000
H1 0.000 0.000 0.351
H2 0.000 0.000 0.649
H3 0.000 0.500 0.000
H4 0.000 0.500 0.500
H5 0.500 0.000 0.000
H6 0.500 0.000 0.500
H7 0.500 0.500 0.149
H8 0.500 0.500 0.851

Values from the calculation:
The calculation puts the density of states at the Fermi level at 0.000 states/eV/atom. The value obtained for the total DFT energy (no corrections) is -5.43 eV per atom.

---

# 8
## TcAu2 (SCAN)

Data for a crystal of TcAu2 relaxed with PBEsol.

Cell: 10.608 2.756 6.834 Å, 90.00 105.78 90.00°
Fractional coordinates of all 12 atoms:
Tc1 0.000 0.000 0.000
Tc2 0.140 0.500 0.284
Tc3 0.500 0.500 0.000
Tc4 0.640 0.000 0.284
Au1 0.091 0.500 0.712
Au2 0.274 0.000 0.039
Au3 0.311 0.000 0.640
Au4 0.434 0.500 0.374
Au5 0.591 0.000 0.712
Au6 0.774 0.500 0.039
Au7 0.811 0.500 0.640
Au8 0.934 0.000 0.374

Values from the calculation:
For the distance to the lowest polymorph of the same formula, the calculation gives 0.00 eV/f.u. The calculation puts the density of states at the Fermi level at 0.607 states/eV/atom. The value obtained for the formation energy from the elements is 27.8 kJ/mol of atoms.